# 1
DFT (PBE) results for an optimized crystal structure of LiNi2Rh.

Geometry as extended XYZ:
```
4
Lattice="1.336 -2.191 0.000 1.336 2.191 0.000 0.000 0.000 8.614" Properties=species:S:1:pos:R:3 pbc="T T T"
Li 0.000 0.000 0.000
Ni 1.336 0.000 2.126
Ni 1.336 0.000 6.488
Rh 0.000 0.000 4.307
```

## Properties
Formation energy (eV per atom): 0.14
DOS at the Fermi energy (states/eV/f.u.): 5.63

***

# 2
DFT (PBE) results for an optimized crystal structure of K2Sb4Pd3Pt.

Geometry as extended XYZ:
```
10
Lattice="4.739 0.000 0.000 0.000 4.739 0.000 0.000 0.000 10.843" Properties=species:S:1:pos:R:3 pbc="T T T"
K 0.000 2.370 2.671
K 2.370 0.000 8.172
Sb 0.000 0.000 5.422
Sb 0.000 2.370 9.539
Sb 2.370 0.000 1.304
Sb 2.370 2.370 5.422
Pd 0.000 0.000 0.000
Pd 0.000 2.370 6.797
Pd 2.370 0.000 4.047
Pt 2.370 2.370 0.000
```

## Properties
E_form (uncorrected) (eV/atom): -0.469
DOS at the Fermi energy (states/eV/f.u.): 5.83